1.
A plane-wave DFT calculation with GGA-PBE was carried out for LaPr5Bi6 after structural relaxation.

## Properties
- DFT total energy: -5.4158 eV/atom
- Volume: 35.29 Å³ per atom

Cell: 8.034 13.917 8.035 Å, 90.00 109.49 90.00°
Space group C2/m (No. 12)
Unique sites:
La 0.000 0.000 0.000 (multiplicity 2)
Pr 0.000 0.166 0.500 (multiplicity 4)
Pr 0.000 0.333 0.000 (multiplicity 4)
Pr 0.000 0.500 0.500 (multiplicity 2)
Bi 0.249 0.333 0.749 (multiplicity 8)
Bi 0.249 0.500 0.250 (multiplicity 4)

=====

2.
A plane-wave DFT calculation with GGA-PBE was carried out for Hf2Te after structural relaxation.

## Properties
- DFT total energy: -5.2266 eV/atom
- Volume: 87.22 Å³ per atom

Cell: 12.792 12.792 12.792 Å, 90.00 90.00 90.00°
Space group Fd-3m (No. 227, origin choice 2)
Unique sites:
Hf 0.000 0.000 0.000 (multiplicity 16)
Te 0.125 0.125 0.125 (multiplicity 8)

=====

3.
A plane-wave DFT calculation with GGA-PBE was carried out for Gd3Pb7 after structural relaxation.

## Properties
- DFT total energy: -4.3630 eV/atom
- Volume: 28.53 Å³ per atom

Cell: 4.669 25.963 4.706 Å, 90.00 90.00 90.00°
Space group Cmmm (No. 65)
Unique sites:
Gd 0.000 0.000 0.000 (multiplicity 2)
Gd 0.000 0.189 0.000 (multiplicity 4)
Pb 0.000 0.097 0.500 (multiplicity 4)
Pb 0.000 0.294 0.500 (multiplicity 4)
Pb 0.000 0.403 0.000 (multiplicity 4)
Pb 0.000 0.500 0.500 (multiplicity 2)